This record from Alexandria describes FeRu2Rh after structural relaxation. The functional is PBE-GGA.

Lattice parameters (Å, degrees): 4.4742 4.4742 2.7805 90.00 90.00 90.00
Last column: nearest neighbours and their distance in Å.
Fractional coordinates of all 4 atoms:
Fe 0.0000 0.0000 0.0000  8 Ru 2.63, 2 Fe 2.78
Ru 0.0000 0.5000 0.5000  4 Fe 2.63, 4 Rh 2.63, 2 Ru 2.78
Ru 0.5000 0.0000 0.5000  4 Fe 2.63, 4 Rh 2.63, 2 Ru 2.78
Rh 0.5000 0.5000 0.0000  8 Ru 2.63, 2 Rh 2.78

SG	P4/mmm, No. 123
energy above the lowest structure with this stoichiometry	274	meV per atom
total DFT energy (no corrections)	-8.253	eV/atom
E_form	0.338	eV per atom